[1]
Computed, not measured: a relaxed LaPr2HoEr4 crystal at the PBE-GGA level of DFT.

## Properties
The space group is C2/m. The value obtained for the formation energy is 0.018 eV per atom.

Structure (CIF):
```
data_LaPr2HoEr4
_space_group_name_H-M_alt 'P 1'
_space_group_IT_number 1
_cell_length_a 12.3763
_cell_length_b 7.1831
_cell_length_c 12.3561
_cell_angle_alpha 106.73
_cell_angle_beta 146.23
_cell_angle_gamma 90.09
loop_
_space_group_symop_operation_xyz
'x,y,z'
loop_
_atom_site_label
_atom_site_fract_x
_atom_site_fract_y
_atom_site_fract_z
Ho1 0.0001 0.5000 0.9999
Ho2 0.0000 0.5000 0.5001
Er1 0.7510 0.2504 0.5003
Er2 0.7504 0.2509 0.0010
Er3 0.2499 0.2498 0.9991
Er4 0.2493 0.2509 0.5007
Er5 0.7508 0.7491 0.4994
Er6 0.2491 0.7496 0.4998
Er7 0.2495 0.7490 0.9989
Er8 0.7499 0.7502 0.0008
Pr1 0.5000 0.5000 0.9999
Pr2 0.5000 0.0000 0.5000
Pr3 0.5000 0.0000 0.9999
Pr4 0.0000 0.0000 0.4999
La1 0.5000 0.5001 0.5001
La2 0.9999 0.0000 0.0001
```

---

[2]
Computed, not measured: a relaxed La3PrHoEr crystal at the PBE-GGA level of DFT.

## Properties
The space group is P2_1/m. The value obtained for the formation energy is 0.031 eV per atom.

Structure (CIF):
```
data_La3PrHoEr
_space_group_name_H-M_alt 'P 1'
_space_group_IT_number 1
_cell_length_a 5.2273
_cell_length_b 8.1093
_cell_length_c 10.9591
_cell_angle_alpha 115.66
_cell_angle_beta 90.00
_cell_angle_gamma 90.00
loop_
_space_group_symop_operation_xyz
'x,y,z'
loop_
_atom_site_label
_atom_site_fract_x
_atom_site_fract_y
_atom_site_fract_z
Er1 0.7500 0.8764 0.3765
Er2 0.2500 0.1236 0.6235
La1 0.7500 0.3804 0.2071
La2 0.7500 0.3704 0.5415
La3 0.2500 0.6196 0.7929
La4 0.7500 0.8723 0.0434
La5 0.2500 0.1277 0.9566
La6 0.2500 0.6296 0.4585
Ho1 0.7500 0.3723 0.8739
Ho2 0.2500 0.6277 0.1261
Pr1 0.2500 0.1217 0.2926
Pr2 0.7500 0.8783 0.7074
```

---

[3]
Computed, not measured: a relaxed La2HoErS4 crystal at the PBE-GGA level of DFT.

## Properties
The space group is P2/m. The value obtained for the formation energy without anion corrections is -2.074 eV per atom.

Structure (CIF):
```
data_La2HoErS4
_space_group_name_H-M_alt 'P 1'
_space_group_IT_number 1
_cell_length_a 3.9482
_cell_length_b 6.8799
_cell_length_c 7.1080
_cell_angle_alpha 108.67
_cell_angle_beta 90.00
_cell_angle_gamma 90.00
loop_
_space_group_symop_operation_xyz
'x,y,z'
loop_
_atom_site_label
_atom_site_fract_x
_atom_site_fract_y
_atom_site_fract_z
S1 0.5000 0.7594 0.7743
S2 0.0000 0.7428 0.2263
S3 0.5000 0.2406 0.2257
S4 0.0000 0.2572 0.7737
Er1 0.0000 0.0000 0.0000
La1 0.0000 0.5000 0.5000
La2 0.5000 0.0000 0.5000
Ho1 0.5000 0.5000 0.0000
```

---

[4]
Computed, not measured: a relaxed La2HoErS6 crystal at the PBE-GGA level of DFT.

## Properties
The space group is R3. The value obtained for the formation energy without anion corrections is -2.109 eV per atom.

Structure (CIF):
```
data_La2HoErS6
_space_group_name_H-M_alt 'P 1'
_space_group_IT_number 1
_cell_length_a 7.1161
_cell_length_b 7.1161
_cell_length_c 7.3905
_cell_angle_alpha 61.23
_cell_angle_beta 61.23
_cell_angle_gamma 60.00
loop_
_space_group_symop_operation_xyz
'x,y,z'
loop_
_atom_site_label
_atom_site_fract_x
_atom_site_fract_y
_atom_site_fract_z
S1 0.4451 0.6898 0.7613
S2 0.6898 0.1038 0.7613
S3 0.1904 0.9464 0.2607
S4 0.1037 0.4452 0.7613
S5 0.6024 0.1905 0.2607
S6 0.9465 0.6024 0.2607
La1 0.5258 0.5259 0.4225
La2 0.0257 0.0256 0.9230
Ho1 0.8158 0.8160 0.5523
Er1 0.3163 0.3161 0.0514
```

---

[5]
Computed, not measured: a relaxed LaHoEr2S6 crystal at the PBE-GGA level of DFT.

## Properties
The space group is R3. The value obtained for the formation energy without anion corrections is -2.080 eV per atom.

Structure (CIF):
```
data_LaHoEr2S6
_space_group_name_H-M_alt 'P 1'
_space_group_IT_number 1
_cell_length_a 6.9807
_cell_length_b 6.9808
_cell_length_c 7.3538
_cell_angle_alpha 61.66
_cell_angle_beta 61.66
_cell_angle_gamma 60.00
loop_
_space_group_symop_operation_xyz
'x,y,z'
loop_
_atom_site_label
_atom_site_fract_x
_atom_site_fract_y
_atom_site_fract_z
Er1 0.5182 0.5181 0.4455
Er2 0.0132 0.0133 0.9602
S1 0.1432 0.3856 0.7469
S2 0.3855 0.7244 0.7468
S3 0.9121 0.6165 0.2451
S4 0.7244 0.1432 0.7469
S5 0.6165 0.2264 0.2451
S6 0.2264 0.9120 0.2451
Ho1 0.3157 0.3157 0.0528
La1 0.8064 0.8064 0.5807
```

---

[6]
Computed, not measured: a relaxed LaHoErS3 crystal at the PBE-GGA level of DFT.

## Properties
The space group is P2_1/m. The value obtained for the formation energy without anion corrections is -1.832 eV per atom.

Structure (CIF):
```
data_LaHoErS3
_space_group_name_H-M_alt 'P 1'
_space_group_IT_number 1
_cell_length_a 3.9608
_cell_length_b 7.6490
_cell_length_c 9.9259
_cell_angle_alpha 103.05
_cell_angle_beta 90.00
_cell_angle_gamma 90.00
loop_
_space_group_symop_operation_xyz
'x,y,z'
loop_
_atom_site_label
_atom_site_fract_x
_atom_site_fract_y
_atom_site_fract_z
Ho1 0.2500 0.6684 0.0909
Ho2 0.7500 0.3316 0.9091
S1 0.2500 0.0929 0.8836
S2 0.2500 0.5197 0.8111
S3 0.7500 0.9071 0.1164
S4 0.7500 0.1921 0.4410
S5 0.7500 0.4803 0.1889
S6 0.2500 0.8079 0.5590
Er1 0.7500 0.8204 0.3796
Er2 0.2500 0.1796 0.6204
La1 0.7500 0.8153 0.7925
La2 0.2500 0.1847 0.2075
```

---

[7]
Computed, not measured: a relaxed La4Ho3ErS8 crystal at the PBE-GGA level of DFT.

## Properties
The space group is R-3m. The value obtained for the formation energy without anion corrections is -2.075 eV per atom.

Structure (CIF):
```
data_La4Ho3ErS8
_space_group_name_H-M_alt 'P 1'
_space_group_IT_number 1
_cell_length_a 7.9533
_cell_length_b 8.1203
_cell_length_c 7.9534
_cell_angle_alpha 119.33
_cell_angle_beta 120.00
_cell_angle_gamma 90.00
loop_
_space_group_symop_operation_xyz
'x,y,z'
loop_
_atom_site_label
_atom_site_fract_x
_atom_site_fract_y
_atom_site_fract_z
S1 0.7423 0.7268 0.4846
S2 0.2577 0.2732 0.5154
S3 0.7430 0.7262 0.9846
S4 0.2416 0.7262 0.4831
S5 0.7584 0.2738 0.5169
S6 0.2416 0.7262 0.9846
S7 0.7584 0.2738 0.0154
S8 0.2570 0.2738 0.0154
La1 0.0000 0.0000 0.5000
La2 0.5000 0.0000 0.5000
La3 0.0000 0.0000 0.0000
La4 0.5000 0.0000 0.0000
Er1 0.0000 0.5000 0.0000
Ho1 0.5000 0.5000 0.5000
Ho2 0.0000 0.5000 0.5000
Ho3 0.5000 0.5000 0.0000
```

---

[8]
Computed, not measured: a relaxed La3HoEr2S6 crystal at the PBE-GGA level of DFT.

## Properties
The space group is C2/m. The value obtained for the formation energy without anion corrections is -2.076 eV per atom.

Structure (CIF):
```
data_La3HoEr2S6
_space_group_name_H-M_alt 'P 1'
_space_group_IT_number 1
_cell_length_a 6.8775
_cell_length_b 6.8775
_cell_length_c 7.0790
_cell_angle_alpha 99.33
_cell_angle_beta 99.33
_cell_angle_gamma 120.12
loop_
_space_group_symop_operation_xyz
'x,y,z'
loop_
_atom_site_label
_atom_site_fract_x
_atom_site_fract_y
_atom_site_fract_z
S1 0.5903 0.9248 0.7739
S2 0.0752 0.4097 0.2261
S3 0.9248 0.5903 0.7739
S4 0.4097 0.0752 0.2261
S5 0.7406 0.7406 0.2258
S6 0.2594 0.2594 0.7742
La1 0.1662 0.8338 0.5000
La2 0.8338 0.1662 0.5000
La3 0.5000 0.5000 0.5000
Er1 0.3333 0.6667 0.0000
Er2 0.6667 0.3333 0.0000
Ho1 0.0000 0.0000 0.0000
```

---

[9]
Computed, not measured: a relaxed La3Ho2ErSb6 crystal at the PBE-GGA level of DFT.

## Properties
The space group is C2/m. The value obtained for the formation energy without anion corrections is -1.187 eV per atom.

Structure (CIF):
```
data_La3Ho2ErSb6
_space_group_name_H-M_alt 'P 1'
_space_group_IT_number 1
_cell_length_a 7.7985
_cell_length_b 7.7985
_cell_length_c 7.7639
_cell_angle_alpha 99.63
_cell_angle_beta 99.63
_cell_angle_gamma 119.99
loop_
_space_group_symop_operation_xyz
'x,y,z'
loop_
_atom_site_label
_atom_site_fract_x
_atom_site_fract_y
_atom_site_fract_z
Ho1 0.6665 0.3335 0.0000
Ho2 0.3335 0.6665 0.0000
Sb1 0.4111 0.0782 0.2349
Sb2 0.7457 0.7457 0.2353
Sb3 0.9218 0.5889 0.7651
Sb4 0.2543 0.2543 0.7647
Sb5 0.5889 0.9218 0.7651
Sb6 0.0782 0.4111 0.2349
La1 0.5000 0.5000 0.5000
La2 0.8331 0.1669 0.5000
La3 0.1669 0.8331 0.5000
Er1 0.0000 0.0000 0.0000
```

---

[10]
Computed, not measured: a relaxed LaHo2ErSb4 crystal at the PBE-GGA level of DFT.

## Properties
The space group is I4/mmm. The value obtained for the formation energy without anion corrections is -1.129 eV per atom.

Structure (CIF):
```
data_LaHo2ErSb4
_space_group_name_H-M_alt 'P 1'
_space_group_IT_number 1
_cell_length_a 6.2735
_cell_length_b 6.2736
_cell_length_c 7.6742
_cell_angle_alpha 114.13
_cell_angle_beta 114.13
_cell_angle_gamma 89.99
loop_
_space_group_symop_operation_xyz
'x,y,z'
loop_
_atom_site_label
_atom_site_fract_x
_atom_site_fract_y
_atom_site_fract_z
La1 0.9374 0.9374 0.0000
Ho1 0.6871 0.1871 0.5000
Ho2 0.1871 0.6871 0.5000
Sb1 0.6816 0.6816 0.4886
Sb2 0.4373 0.9368 0.0000
Sb3 0.9368 0.4373 0.0000
Sb4 0.1930 0.1930 0.5114
Er1 0.4371 0.4371 0.0000
```

---

In the order shown, the computed VASP energy values come out to -37.2, -28.5, -52.1, -64.9, -64.2, -37.4, -104.2, -78.2, -67.5, -44.2 eV per formula unit.
In the order shown, the computed N(E_F) values come out to 19.96, 21.96, 4.56, 0.00, 0.00, 7.84, 8.37, 5.84, 2.20, 1.18 states/eV/cell.